A plane-wave DFT calculation with PBE-GGA was carried out for Sb2WIN after structural relaxation.

abc: 4.6836 4.6836 4.6414
angles: 90.00 90.00 90.00
Element x y z (fractional)
Sb 0.0000 0.5000 0.0000
Sb 0.5000 0.0000 0.0000
I 0.0000 0.0000 0.5000
N 0.0000 0.0000 0.0000
W 0.5000 0.5000 0.5000

- formation energy without anion corrections (eV/atom) = 1.40
- relative energy among the computed polymorphs (eV per atom) = 1.0248
- space group = P4/mmm (123)

A plane-wave DFT calculation with PBE-GGA was carried out for Ac3Pd3Pt after structural relaxation.

abc: 4.5203 4.1685 10.4221
angles: 101.54 102.52 90.00
Element x y z (fractional)
Ac 0.9970 0.9970 0.9941
Ac 0.6817 0.1817 0.3634
Ac 0.3190 0.8190 0.6380
Pt 0.4338 0.4338 0.8676
Pd 0.1547 0.6547 0.3094
Pd 0.5687 0.5687 0.1373
Pd 0.8451 0.3451 0.6903

- formation energy (eV/atom) = -0.88
- space group = Imm2 (44)

| no. | magnetic moment (Bohr magnetons per cell) |
| --- | --- |
| 1 | 1.8 |
| 2 | 0.0 |